(1)
# MnW3 | Alexandria via LeMat-Bulk | PBEsol | optimized geometry
data_MnW3
_space_group_name_H-M_alt 'C m m m'
_space_group_IT_number 65
_space_group_name_Hall '-C 2 2'
_cell_length_a 3.140
_cell_length_b 4.370
_cell_length_c 8.508
_cell_angle_alpha 90.00
_cell_angle_beta 90.00
_cell_angle_gamma 90.00
loop_
_atom_site_label
_atom_site_type_symbol
_atom_site_fract_x
_atom_site_fract_y
_atom_site_fract_z
_atom_site_occupancy
Mn1 Mn 0.000 0.000 0.000 1
W1 W 0.000 0.000 0.500 1
W2 W 0.000 0.500 0.235 1
# Final energy = -101.59 eV per cell



(2)
# YMnW | Alexandria via LeMat-Bulk | PBEsol | optimized geometry
data_YMnW
_space_group_name_H-M_alt 'P -6 m 2'
_space_group_IT_number 187
_space_group_name_Hall 'P -6 2'
_cell_length_a 3.9164
_cell_length_b 3.9164
_cell_length_c 4.4964
_cell_angle_alpha 90.00
_cell_angle_beta 90.00
_cell_angle_gamma 120.00
loop_
_atom_site_label
_atom_site_type_symbol
_atom_site_fract_x
_atom_site_fract_y
_atom_site_fract_z
_atom_site_occupancy
Y1 Y 0.0000 0.0000 0.0000 1
Mn1 Mn 0.3333 0.6667 0.5000 1
W1 W 0.6667 0.3333 0.5000 1
# Offset from the most stable computed form = 0 meV per atom



(3)
# YMnW | Alexandria via LeMat-Bulk | PBEsol | optimized geometry
data_YMnW
_space_group_name_H-M_alt 'F -4 3 m'
_space_group_IT_number 216
_space_group_name_Hall 'F -4 2 3'
_cell_length_a 6.075
_cell_length_b 6.075
_cell_length_c 6.075
_cell_angle_alpha 90.00
_cell_angle_beta 90.00
_cell_angle_gamma 90.00
loop_
_atom_site_label
_atom_site_type_symbol
_atom_site_fract_x
_atom_site_fract_y
_atom_site_fract_z
_atom_site_occupancy
Y1 Y 0.000 0.000 0.000 1
Mn1 Mn 0.250 0.250 0.750 1
W1 W 0.000 0.000 0.500 1
# Offset from the most stable computed form = 282 meV per atom



(4)
# MnZn2W | Alexandria via LeMat-Bulk | PBEsol | optimized geometry
data_MnZn2W
_space_group_name_H-M_alt 'R 3 m'
_space_group_IT_number 160
_space_group_name_Hall 'R 3 -2"'
_cell_length_a 2.6809
_cell_length_b 2.6809
_cell_length_c 26.4065
_cell_angle_alpha 90.00
_cell_angle_beta 90.00
_cell_angle_gamma 120.00
loop_
_atom_site_label
_atom_site_type_symbol
_atom_site_fract_x
_atom_site_fract_y
_atom_site_fract_z
_atom_site_occupancy
Mn1 Mn 0.0000 0.0000 0.0000 1
Zn1 Zn 0.0000 0.0000 0.4973 1
Zn2 Zn 0.0000 0.0000 0.7454 1
W1 W 0.0000 0.0000 0.2525 1
# Final energy = -77.11 eV per cell



(5)
# Mn2ZnW | Alexandria via LeMat-Bulk | PBEsol | optimized geometry
data_Mn2ZnW
_space_group_name_H-M_alt 'R -3 m'
_space_group_IT_number 166
_space_group_name_Hall '-R 3 2"'
_cell_length_a 2.6485
_cell_length_b 2.6485
_cell_length_c 25.9435
_cell_angle_alpha 90.00
_cell_angle_beta 90.00
_cell_angle_gamma 120.00
loop_
_atom_site_label
_atom_site_type_symbol
_atom_site_fract_x
_atom_site_fract_y
_atom_site_fract_z
_atom_site_occupancy
Mn1 Mn 0.0000 0.0000 0.2482 1
Zn1 Zn 0.0000 0.0000 0.5000 1
W1 W 0.0000 0.0000 0.0000 1
# Final energy = -100.55 eV per cell



(6)
# Mn2ZnW | Alexandria via LeMat-Bulk | PBEsol | optimized geometry
data_Mn2ZnW
_space_group_name_H-M_alt 'C 1 2/m 1'
_space_group_IT_number 12
_cell_length_a 5.197
_cell_length_b 8.236
_cell_length_c 2.564
_cell_angle_alpha 90.00
_cell_angle_beta 112.28
_cell_angle_gamma 90.00
loop_
_space_group_symop_operation_xyz
'x,y,z'
'-x,-y,-z'
'-x,y,-z'
'x,-y,z'
'x+1/2,y+1/2,z'
'-x+1/2,-y+1/2,-z'
'-x+1/2,y+1/2,-z'
'x+1/2,-y+1/2,z'
loop_
_atom_site_label
_atom_site_type_symbol
_atom_site_fract_x
_atom_site_fract_y
_atom_site_fract_z
_atom_site_occupancy
Mn1 Mn 0.250 0.250 0.000 1
Zn1 Zn 0.000 0.000 0.500 1
W1 W 0.000 0.500 0.500 1
# Final energy = -67.62 eV per cell